Density functional theory data (GGA-PBE) for a relaxed structure of PmLu2Zr.

Cell: 11.399 11.399 11.399 Å, 17.27 17.27 17.27°
Positions (direct):
Pm  0.000  0.000  0.000
Lu  0.244  0.244  0.244
Lu  0.756  0.756  0.756
Zr  0.500  0.500  0.500

Results
Raw total energy, eV/atom: -5.51
Calculated density, g cm⁻³: 8.548
Magnetization, Bohr magnetons per cell: 0.0